Here is crystalline Sm4GaSi2 at its relaxed geometry from Alexandria via LeMat-Bulk. Energies are from PBE.

a b c (Å): 10.353 10.353 10.353
angles (deg): 26.54 26.54 26.54
Sites, in units of the cell vectors:
Sm (0.120, 0.120, 0.120)
Sm (0.296, 0.296, 0.296)
Sm (0.704, 0.704, 0.704)
Sm (0.880, 0.880, 0.880)
Ga (0.500, 0.500, 0.500)
Si (0.404, 0.404, 0.404)
Si (0.596, 0.596, 0.596)

Properties
Space group: R-3m
Theoretical density (g/cm3): 6.2
DFT total energy (eV per atom): -5.14
V (Å³/atom): 27.891
Formation energy from raw total energies (meV/atom): -462.6

---

Here is crystalline CaTbSm2 at its relaxed geometry from Alexandria via LeMat-Bulk. Energies are from PBE.

a b c (Å): 5.191 5.191 5.104
angles (deg): 90.00 90.00 90.00
Sites, in units of the cell vectors:
Ca (0.000, 0.000, 0.000)
Tb (0.500, 0.500, 0.000)
Sm (0.000, 0.500, 0.500)
Sm (0.500, 0.000, 0.500)

Properties
Space group: P4/mmm
Theoretical density (g/cm3): 6.0
DFT total energy (eV per atom): -3.91
DFT formation energy (eV/f.u.): 0.43
V (Å³/atom): 34.388

---

Here is crystalline Cr2InCo2 at its relaxed geometry from Alexandria via LeMat-Bulk. Energies are from PBE.

a b c (Å): 5.343 5.343 5.343
angles (deg): 137.24 137.24 62.08
Sites, in units of the cell vectors:
Cr (0.114, 0.114, 0.000)
Cr (0.886, 0.886, 0.000)
In (0.500, 0.500, 0.000)
Co (0.250, 0.750, 0.500)
Co (0.750, 0.250, 0.500)

Properties
Space group: I4/mmm
Theoretical density (g/cm3): 8.0
DFT total energy (eV per atom): -6.83
DFT formation energy (eV/f.u.): 2.05
V (Å³/atom): 13.900

---

Here is crystalline K2PmPuTe4 at its relaxed geometry from Alexandria via LeMat-Bulk. Energies are from PBE.

a b c (Å): 7.951 4.589 8.632
angles (deg): 90.00 107.94 90.00
Sites, in units of the cell vectors:
K (0.000, 0.000, 0.000)
K (0.500, 0.500, 0.000)
Pm (0.000, 0.500, 0.500)
Pu (0.500, 0.000, 0.500)
Te (0.239, 0.000, 0.713)
Te (0.266, 0.500, 0.290)
Te (0.734, 0.500, 0.710)
Te (0.761, 0.000, 0.287)

Properties
Space group: P2/m
Theoretical density (g/cm3): 5.4
DFT total energy (eV per atom): -5.49
V (Å³/atom): 37.457
Formation energy from raw total energies (meV/atom): -1256.8

---

Here is crystalline ZrMnZnIr at its relaxed geometry from Alexandria via LeMat-Bulk. Energies are from PBE.

a b c (Å): 4.543 4.543 4.543
angles (deg): 60.00 60.00 60.00
Sites, in units of the cell vectors:
Zr (0.000, 0.000, 0.000)
Mn (0.500, 0.500, 0.500)
Zn (0.750, 0.750, 0.750)
Ir (0.250, 0.250, 0.250)

Properties
Space group: F-43m
Theoretical density (g/cm3): 10.1
DFT total energy (eV per atom): -7.25
DFT formation energy (eV/f.u.): -1.13
V (Å³/atom): 16.576

---

Here is crystalline Zn at its relaxed geometry from Alexandria via LeMat-Bulk. Energies are from PBE.

a b c (Å): 2.775 2.775 2.575
angles (deg): 117.24 117.24 77.81
Sites, in units of the cell vectors:
Zn (0.000, 0.000, 0.000)

Properties
Space group: C2/m
Theoretical density (g/cm3): 6.9
DFT total energy (eV per atom): -1.25
DFT formation energy (eV/f.u.): 0.03
V (Å³/atom): 15.677

---

Here is crystalline Ho2CoRe at its relaxed geometry from Alexandria via LeMat-Bulk. Energies are from PBE.

a b c (Å): 9.752 9.752 9.752
angles (deg): 18.24 18.24 18.24
Sites, in units of the cell vectors:
Ho (0.096, 0.096, 0.096)
Ho (0.904, 0.904, 0.904)
Co (0.500, 0.500, 0.500)
Re (0.000, 0.000, 0.000)

Properties
Space group: R-3m
Theoretical density (g/cm3): 12.0
DFT total energy (eV per atom): -6.40
DFT formation energy (eV/f.u.): 3.13
V (Å³/atom): 19.843